1.
A geometry-optimized Pm5Au3 structure. Source: the Alexandria database, functional PBE.

Structure (POSCAR):
```
Pm5Au3
1.0
-0.358 -1.607 -3.302
3.667 0.022 -0.408
0.873 -14.692 7.056
Pm Au
5 3
direct
0.000 0.000 0.225
0.500 0.500 0.612
0.500 0.500 0.388
0.000 0.000 0.775
0.000 0.000 0.000
0.500 0.500 0.113
0.500 0.500 0.887
0.000 0.000 0.500
```

- Energy: -4.77 eV/atom
- Space group: No. 123

***

2.
A geometry-optimized Pm2Au7 structure. Source: the Alexandria database, functional PBE.

Structure (POSCAR):
```
Pm2Au7
1.0
4.948 -0.010 -0.217
-2.482 4.300 0.000
-0.400 -0.231 9.080
Pm Au
2 7
direct
0.285 0.643 0.761
0.715 0.357 0.239
0.352 0.676 0.092
0.648 0.324 0.908
0.414 0.707 0.414
0.586 0.293 0.586
0.070 0.035 0.347
0.930 0.965 0.653
0.000 0.000 0.000
```

- Energy: -4.19 eV/atom
- Space group: No. 12

***

3.
A geometry-optimized Pm2Au3 structure. Source: the Alexandria database, functional PBE.

Structure (POSCAR):
```
Pm2Au3
1.0
-7.571 3.684 2.739
-1.782 -6.424 -5.826
4.298 -3.422 6.943
Pm Au
8 12
direct
0.922 0.422 0.422
0.000 0.000 0.078
0.578 0.500 0.000
0.500 0.078 0.500
0.422 0.922 0.922
0.000 0.000 0.578
0.500 0.578 0.500
0.078 0.500 0.000
0.512 0.250 0.262
0.988 0.750 0.238
0.750 0.262 0.012
0.250 0.238 0.488
0.762 0.012 0.250
0.738 0.488 0.750
0.250 0.512 0.762
0.750 0.988 0.738
0.262 0.750 0.512
0.238 0.250 0.988
0.012 0.762 0.750
0.488 0.738 0.250
```

- Energy: -4.49 eV/atom
- Space group: No. 220

***

4.
A geometry-optimized PmAu3 structure. Source: the Alexandria database, functional PBE.

Structure (POSCAR):
```
PmAu3
1.0
-0.390 3.964 -0.093
-3.865 -0.401 -0.881
-1.292 0.005 5.666
Au Pm
3 1
direct
0.000 0.000 0.907
0.500 0.000 0.536
0.500 0.500 0.907
0.000 0.500 0.316
```

- Energy: -4.14 eV/atom
- Space group: No. 99

***

5.
A geometry-optimized Pm3Au5 structure. Source: the Alexandria database, functional PBE.

Structure (POSCAR):
```
Pm3Au5
1.0
3.914 0.000 0.000
0.000 6.515 -3.761
0.000 0.000 7.523
Pm Au
3 5
direct
0.500 0.000 0.625
0.500 0.625 0.000
0.500 0.375 0.375
0.000 0.667 0.333
0.000 0.333 0.667
0.000 0.000 0.234
0.000 0.234 0.000
0.000 0.766 0.766
```

- Energy: -4.61 eV/atom
- Space group: No. 189

***

6.
A geometry-optimized Pm5Au3 structure. Source: the Alexandria database, functional PBE.

Structure (POSCAR):
```
Pm5Au3
1.0
-5.079 4.658 -3.133
-5.525 -4.895 1.681
4.276 3.655 7.648
Pm Au
10 6
direct
0.000 0.000 0.000
0.500 0.500 0.000
0.515 0.015 0.698
0.183 0.683 0.698
0.683 0.515 0.698
0.015 0.183 0.698
0.485 0.985 0.302
0.817 0.317 0.302
0.317 0.485 0.302
0.985 0.817 0.302
0.750 0.750 0.500
0.250 0.250 0.500
0.133 0.633 0.000
0.867 0.367 0.000
0.367 0.133 0.000
0.633 0.867 0.000
```

- Energy: -4.77 eV/atom
- Space group: No. 140

***

7.
A geometry-optimized Pm2Au3 structure. Source: the Alexandria database, functional PBE.

Structure (POSCAR):
```
Pm2Au3
1.0
-1.107 1.207 3.334
0.130 -4.370 1.625
14.125 1.228 2.174
Pm Au
4 6
direct
0.295 0.750 0.590
0.705 0.250 0.410
0.571 0.750 0.143
0.429 0.250 0.857
0.182 0.750 0.365
0.818 0.250 0.635
0.879 0.750 0.759
0.121 0.250 0.241
0.025 0.250 0.049
0.975 0.750 0.951
```

- Energy: -4.64 eV/atom
- Space group: No. 63

***

8.
A geometry-optimized PmAu3 structure. Source: the Alexandria database, functional PBE.

Structure (POSCAR):
```
PmAu3
1.0
-0.356 0.182 4.088
1.957 -3.596 0.330
4.247 4.482 -1.893
Au Pm
3 1
direct
0.500 0.500 0.000
0.261 0.261 0.521
0.739 0.739 0.479
0.000 0.000 0.000
```

- Energy: -3.92 eV/atom
- Space group: No. 139

***

9.
A geometry-optimized Pm7Au3 structure. Source: the Alexandria database, functional PBE.

Structure (POSCAR):
```
Pm7Au3
1.0
6.439 0.000 0.000
0.000 8.985 -5.187
0.000 0.000 10.375
Pm Au
14 6
direct
0.112 0.667 0.333
0.612 0.333 0.667
0.928 0.871 0.743
0.928 0.871 0.129
0.928 0.257 0.129
0.428 0.129 0.257
0.428 0.129 0.871
0.428 0.743 0.871
0.136 0.464 0.928
0.136 0.464 0.536
0.136 0.072 0.536
0.636 0.536 0.072
0.636 0.536 0.464
0.636 0.928 0.464
0.868 0.190 0.381
0.868 0.190 0.810
0.868 0.619 0.810
0.368 0.810 0.619
0.368 0.810 0.190
0.368 0.381 0.190
```

- Energy: -4.80 eV/atom
- Space group: No. 186

***

10.
A geometry-optimized PmAu8 structure. Source: the Alexandria database, functional PBE.

Structure (POSCAR):
```
PmAu8
1.0
-0.387 1.042 -4.398
5.211 -2.339 -3.352
-3.231 -4.817 -3.196
Pm Au
1 8
direct
0.000 0.000 0.000
0.331 0.000 0.339
0.669 0.000 0.661
0.662 0.338 0.338
0.331 0.339 0.000
0.000 0.338 0.662
0.669 0.661 0.000
0.338 0.662 0.662
0.000 0.662 0.338
```

- Energy: -3.68 eV/atom
- Space group: No. 139

***

11.
A geometry-optimized Pm2PrAu3 structure. Source: the Alexandria database, functional PBE.

Structure (POSCAR):
```
Pm2PrAu3
1.0
-2.141 1.917 2.324
2.108 -1.084 2.836
6.528 9.001 -1.413
Pm Pr Au
2 1 3
direct
0.500 0.500 0.835
0.500 0.500 0.165
0.500 0.500 0.500
0.000 0.000 0.000
0.000 0.000 0.673
0.000 0.000 0.327
```

- Energy: -4.79 eV/atom
- Space group: No. 123

***

12.
A geometry-optimized Pm3PrAu4 structure. Source: the Alexandria database, functional PBE.

Structure (POSCAR):
```
Pm3PrAu4
1.0
3.834 0.000 0.000
0.000 7.169 -0.804
-1.917 -2.685 8.417
Pm Pr Au
3 1 4
direct
0.000 0.500 0.000
0.205 0.205 0.410
0.795 0.795 0.590
0.500 0.000 0.000
0.369 0.570 0.739
0.631 0.430 0.261
0.630 0.830 0.261
0.370 0.170 0.739
```

- Energy: -4.64 eV/atom
- Space group: No. 71

***

13.
A geometry-optimized PmPr2Au structure. Source: the Alexandria database, functional PBE.

Structure (POSCAR):
```
PmPr2Au
1.0
-0.774 -3.466 1.335
1.515 -3.055 -1.664
8.463 -1.562 6.246
Pr Au Pm
2 1 1
direct
0.262 0.262 0.213
0.738 0.738 0.787
0.000 0.000 0.000
0.500 0.500 0.500
```

- Energy: -4.64 eV/atom
- Space group: No. 166

***

14.
A geometry-optimized PmPr2Au structure. Source: the Alexandria database, functional PBE.

Structure (POSCAR):
```
PmPr2Au
1.0
3.767 0.000 0.000
0.000 3.767 0.000
0.000 0.000 8.698
Pr Au Pm
2 1 1
direct
0.000 0.000 0.790
0.000 0.000 0.210
0.500 0.500 0.000
0.500 0.500 0.500
```

- Energy: -4.74 eV/atom
- Space group: No. 123

***

15.
A geometry-optimized Pm2PrAu structure. Source: the Alexandria database, functional PBE.

Structure (POSCAR):
```
Pm2PrAu
1.0
-2.126 2.962 -1.262
-3.456 0.699 1.565
2.459 7.237 6.951
Pm Pr Au
2 1 1
direct
0.068 0.068 0.795
0.265 0.265 0.204
0.500 0.500 0.500
0.666 0.666 0.001
```

- Energy: -4.64 eV/atom
- Space group: No. 160

***

16.
A geometry-optimized PmPr2Au5 structure. Source: the Alexandria database, functional PBE.

Structure (POSCAR):
```
PmPr2Au5
1.0
5.190 0.000 0.000
0.000 5.190 0.000
-2.595 -2.595 7.196
Pm Pr Au
1 2 5
direct
0.000 0.000 0.000
0.726 0.726 0.453
0.274 0.274 0.547
0.500 0.500 0.000
0.881 0.381 0.763
0.381 0.881 0.763
0.119 0.619 0.237
0.619 0.119 0.237
```

- Energy: -4.53 eV/atom
- Space group: No. 139

***

17.
A geometry-optimized PmPrAu3 structure. Source: the Alexandria database, functional PBE.

Structure (POSCAR):
```
PmPrAu3
1.0
6.535 0.000 0.000
0.000 7.825 -0.389
0.000 0.992 9.511
Pm Pr Au
4 4 12
direct
0.175 0.823 0.424
0.825 0.177 0.576
0.675 0.677 0.576
0.325 0.323 0.424
0.651 0.308 0.101
0.349 0.692 0.899
0.151 0.192 0.899
0.849 0.808 0.101
0.853 0.537 0.877
0.147 0.463 0.123
0.353 0.963 0.123
0.647 0.037 0.877
0.491 0.629 0.256
0.509 0.371 0.744
0.991 0.871 0.744
0.009 0.129 0.256
0.884 0.482 0.362
0.116 0.518 0.638
0.384 0.018 0.638
0.616 0.982 0.362
```

- Energy: -4.62 eV/atom
- Space group: No. 14

***

18.
A geometry-optimized Pm5PrAu4 structure. Source: the Alexandria database, functional PBE.

Structure (POSCAR):
```
Pm5PrAu4
1.0
-1.697 -0.352 -3.257
-1.693 -3.046 1.212
-15.237 11.148 6.732
Pm Pr Au
5 1 4
direct
0.500 0.500 0.132
0.500 0.500 0.315
0.500 0.500 0.500
0.500 0.500 0.685
0.500 0.500 0.868
0.000 0.000 0.000
0.000 0.000 0.221
0.000 0.000 0.407
0.000 0.000 0.593
0.000 0.000 0.779
```

- Energy: -4.79 eV/atom
- Space group: No. 123

***

19.
A geometry-optimized Pm2PrAu3 structure. Source: the Alexandria database, functional PBE.

Structure (POSCAR):
```
Pm2PrAu3
1.0
5.267 0.000 0.021
2.633 7.903 0.010
-0.029 0.000 7.370
Pm Pr Au
4 2 6
direct
0.000 0.000 0.000
0.000 0.000 0.500
0.333 0.334 0.500
0.667 0.666 0.500
0.334 0.333 0.000
0.666 0.667 0.000
0.835 0.329 0.743
0.500 0.000 0.254
0.165 0.671 0.257
0.835 0.329 0.257
0.165 0.671 0.743
0.500 0.000 0.746
```

- Energy: -4.79 eV/atom
- Space group: No. 65

***

20.
A geometry-optimized Pm4PrAu5 structure. Source: the Alexandria database, functional PBE.

Structure (POSCAR):
```
Pm4PrAu5
1.0
3.681 0.000 0.000
0.000 3.681 0.000
0.000 0.000 18.743
Pm Pr Au
4 1 5
direct
0.000 0.000 0.202
0.000 0.000 0.401
0.000 0.000 0.599
0.000 0.000 0.798
0.000 0.000 0.000
0.500 0.500 0.104
0.500 0.500 0.301
0.500 0.500 0.500
0.500 0.500 0.699
0.500 0.500 0.896
```

- Energy: -4.80 eV/atom
- Space group: No. 123

***

Number 1: formation energy -0.569 eV per atom. Number 2: formation energy -0.589 eV per atom. Number 3: formation energy -0.624 eV per atom. Number 4: formation energy -0.497 eV per atom. Number 5: formation energy -0.776 eV per atom. Number 6: formation energy -0.572 eV per atom. Number 7: formation energy -0.775 eV per atom. Number 8: formation energy -0.270 eV per atom. Number 9: formation energy -0.494 eV per atom. Number 10: formation energy -0.237 eV per atom. Number 11: formation energy -0.775 eV per atom. Number 12: formation energy -0.619 eV per atom. Number 13: formation energy -0.243 eV per atom. Number 14: formation energy -0.345 eV per atom. Number 15: formation energy -0.255 eV per atom. Number 16: formation energy -0.689 eV per atom. Number 17: formation energy -0.746 eV per atom. Number 18: formation energy -0.623 eV per atom. Number 19: formation energy -0.771 eV per atom. Number 20: formation energy -0.778 eV per atom.